Record 1
Entry from the Alexandria database: a relaxed Ce2Y2S5 crystal (GGA-PBE).

Unit cell a=7.501 b=7.989 c=7.989 alpha=123.84 beta=90.00 gamma=90.00
Each line ends with the local moment (μB).
Element x y z (fractional)
Y 0.842 0.344 0.344  0.14
Y 0.658 0.844 0.844  0.14
Y 0.158 0.656 0.656  0.14
Y 0.342 0.156 0.156  0.14
S 0.000 0.000 0.000  -0.01
S 0.652 0.291 0.024  -0.02
S 0.652 0.024 0.291  -0.02
S 0.500 0.500 0.500  -0.01
S 0.848 0.524 0.791  -0.02
S 0.348 0.709 0.976  -0.02
S 0.152 0.476 0.209  -0.02
S 0.152 0.209 0.476  -0.02
S 0.348 0.976 0.709  -0.02
S 0.848 0.791 0.524  -0.02
Ce 0.500 0.698 0.302  1.14
Ce 0.000 0.198 0.802  1.14
Ce 0.500 0.302 0.698  1.14
Ce 0.000 0.802 0.198  1.14

Its symmetry is Cmce, No. 64.



Record 2
Entry from the Alexandria database: a relaxed CeY6S8 crystal (GGA-PBE).

Unit cell a=7.840 b=7.840 c=7.840 alpha=60.00 beta=60.00 gamma=60.00
Each line ends with the local moment (μB).
Element x y z (fractional)
Y 0.500 0.000 0.500  0.04
Y 0.500 0.500 0.000  0.04
Y 0.000 0.000 0.500  0.04
Y 0.500 0.000 0.000  0.04
Y 0.000 0.500 0.000  0.04
Y 0.000 0.500 0.500  0.04
S 0.256 0.256 0.744  -0.01
S 0.750 0.750 0.750  0.00
S 0.744 0.256 0.744  -0.01
S 0.250 0.250 0.250  0.00
S 0.256 0.744 0.256  -0.01
S 0.744 0.744 0.256  -0.01
S 0.744 0.256 0.256  -0.01
S 0.256 0.744 0.744  -0.01
Ce 0.000 0.000 0.000  0.88

Its symmetry is Fm-3m, No. 225. Its energy above the most stable polymorph in this dataset is 0 meV/atom.



Record 3
Entry from the Alexandria database: a relaxed CeY6S8 crystal (GGA-PBE).

Unit cell a=7.751 b=7.751 c=7.751 alpha=95.54 beta=95.54 gamma=95.54
Each line ends with the local moment (μB).
Element x y z (fractional)
S 0.680 0.408 0.150  0.00
S 0.408 0.150 0.680  0.00
S 0.850 0.320 0.592  0.00
S 0.768 0.768 0.768  -0.01
S 0.592 0.850 0.320  0.00
S 0.232 0.232 0.232  -0.01
S 0.320 0.592 0.850  0.00
S 0.150 0.680 0.408  0.00
Y 0.628 0.439 0.811  0.13
Y 0.189 0.372 0.561  0.13
Y 0.811 0.628 0.439  0.13
Y 0.561 0.189 0.372  0.13
Y 0.372 0.561 0.189  0.13
Y 0.439 0.811 0.628  0.13
Ce 0.000 0.000 0.000  1.54

Its symmetry is R-3, No. 148. Its energy above the most stable polymorph in this dataset is 348 meV/atom.



Record 4
Entry from the Alexandria database: a relaxed Ce2YS4 crystal (GGA-PBE).

Unit cell a=3.861 b=6.982 c=13.348 alpha=90.00 beta=90.00 gamma=106.05
Each line ends with the local moment (μB).
Element x y z (fractional)
S 0.500 0.000 0.500  -0.03
S 0.221 0.441 0.874  -0.02
S 0.022 0.044 0.250  -0.01
S 0.221 0.441 0.626  -0.02
S 0.779 0.559 0.374  -0.02
S 0.978 0.956 0.750  -0.01
S 0.779 0.559 0.126  -0.02
S 0.500 0.000 0.000  -0.03
Y 0.625 0.250 0.750  0.06
Y 0.375 0.750 0.250  0.06
Ce 0.132 0.264 0.071  0.94
Ce 0.132 0.264 0.429  0.94
Ce 0.868 0.736 0.929  0.94
Ce 0.868 0.736 0.571  0.94

Its symmetry is Cmcm, No. 63.



Record 5
Entry from the Alexandria database: a relaxed CeY4S7 crystal (GGA-PBE).

Unit cell a=6.791 b=6.791 c=11.706 alpha=76.04 beta=76.04 gamma=32.80
Each line ends with the local moment (μB).
Element x y z (fractional)
S 0.502 0.502 0.505  0.01
S 0.659 0.659 0.949  0.00
S 0.343 0.343 0.050  0.00
S 0.045 0.045 0.210  0.01
S 0.253 0.253 0.351  0.01
S 0.738 0.738 0.652  0.01
S 0.956 0.956 0.785  0.00
Y 0.113 0.113 0.582  -0.04
Y 0.000 0.000 0.998  0.00
Y 0.301 0.301 0.813  -0.01
Y 0.700 0.700 0.185  -0.01
Ce 0.888 0.888 0.420  -0.93

Its symmetry is Cm, No. 8.



Record 6
Entry from the Alexandria database: a relaxed Ce5YS6 crystal (GGA-PBE).

Unit cell a=6.930 b=6.931 c=6.932 alpha=60.01 beta=80.39 gamma=70.50
Each line ends with the local moment (μB).
Element x y z (fractional)
S 0.752 0.755 0.000  -0.01
S 0.246 0.918 0.672  -0.01
S 0.754 0.410 0.672  -0.01
S 0.246 0.590 0.328  -0.01
S 0.248 0.245 0.000  -0.01
S 0.754 0.082 0.328  -0.01
Ce 0.000 0.666 0.667  0.42
Ce 0.500 0.832 0.336  0.50
Ce 0.500 0.500 0.000  0.51
Ce 0.000 0.334 0.333  0.42
Ce 0.500 0.168 0.664  0.50
Y 0.000 0.000 0.000  -0.01

Its symmetry is C2/m, No. 12.



Record 7
Entry from the Alexandria database: a relaxed CeYS4 crystal (GGA-PBE).

Unit cell a=4.411 b=4.411 c=7.201 alpha=90.00 beta=90.00 gamma=90.00
Each line ends with the local moment (μB).
Element x y z (fractional)
S 0.000 0.500 0.749  -0.01
S 0.000 0.500 0.251  -0.01
S 0.500 0.000 0.749  -0.01
S 0.500 0.000 0.251  -0.01
Y 0.000 0.000 0.000  0.01
Ce 0.000 0.000 0.500  0.16

Its symmetry is P4/mmm, No. 123. Its energy above the most stable polymorph in this dataset is 34 meV/atom.



Record 8
Entry from the Alexandria database: a relaxed CeYS2 crystal (GGA-PBE).

Unit cell a=3.878 b=3.878 c=7.316 alpha=74.63 beta=74.63 gamma=60.00
Each line ends with the local moment (μB).
Element x y z (fractional)
S 0.255 0.255 0.235  -0.01
S 0.078 0.078 0.765  -0.01
Ce 0.495 0.495 0.514  0.91
Y 0.671 0.671 0.986  0.00

Its symmetry is R3m, No. 160. Its energy above the most stable polymorph in this dataset is 92 meV/atom.



Calculated energy relative to the elements, uncorrected in order - -1928; -2020; -1672; -1958; -2038; -2040; -1445; -1940 meV/atom
Calculated total moment in order - 6.83; 1.47; 3.88; 4.67; 1.15; 2.70; 0.14; 1.15 μB per cell
Calculated E_tot in order - -125.6; -108.0; -102.8; -97.1; -85.1; -85.4; -37.6; -28.4 eV/cell